1.
DFT (GGA-PBE) results for a relaxed structure of NbIn2F.

Cell lengths 4.8449, 4.8449, 4.8449 Å; angles 60.00, 60.00, 60.00 degrees
With the nearest neighbours (Å) after each atom.
Element x y z (fractional)
1 In 0.2500 0.2500 0.2500  4 Nb 2.97, 4 F 2.97
2 F 0.0000 0.0000 0.0000  8 In 2.97
3 Nb 0.5000 0.5000 0.5000  8 In 2.97
4 In 0.7500 0.7500 0.7500  4 Nb 2.97, 4 F 2.97

**Total moment**: 0.09 μB per atom
**Formation energy from raw total energies**: 0.010 eV/atom

=====

2.
DFT (GGA-PBE) results for a relaxed structure of KAc2As.

Cell lengths 4.7061, 5.4075, 5.4075 Å; angles 90.00, 90.00, 90.00 degrees
With the nearest neighbours (Å) after each atom.
Element x y z (fractional)
1 K 0.5000 0.5000 0.5000  8 Ac 3.58, 4 As 3.82
2 As 0.5000 0.0000 0.0000  8 Ac 3.58, 4 K 3.82
3 Ac 0.0000 0.5000 0.0000  4 As 3.58, 4 K 3.58, 4 Ac 3.82
4 Ac 0.0000 0.0000 0.5000  4 K 3.58, 4 As 3.58, 4 Ac 3.82

**Formation enthalpy at 0 K**: -0.14 eV/atom
**Total moment**: 0.00 μB per atom

=====

3.
DFT (GGA-PBE) results for a relaxed structure of K2CaMg.

Cell lengths 7.4741, 7.4741, 7.4741 Å; angles 138.16, 138.16, 60.66 degrees
With the nearest neighbours (Å) after each atom.
Element x y z (fractional)
1 K 0.0000 0.0000 0.0000  4 K 3.77, 4 Ca 4.19, 4 Mg 4.19
2 K 0.5000 0.5000 0.0000  4 K 3.77, 4 Mg 4.19, 4 Ca 4.19
3 Ca 0.7500 0.2500 0.5000  4 Mg 3.77, 8 K 4.19
4 Mg 0.2500 0.7500 0.5000  4 Ca 3.77, 8 K 4.19

**Formation enthalpy at 0 K**: 0.21 eV/atom
**Total moment**: 0.00 μB per atom